1.
{
  "formula": "BeBi3Sb",
  "functional": "PBE",
  "state": "relaxed",
  "lattice": [[5.8589, 0.0000, 0.0000], [0.0000, 5.8589, 0.0000], [0.0000, 0.0000, 5.8589]],
  "species": ["Be", "Bi", "Bi", "Bi", "Sb"],
  "frac_coords": [[0.0000, 0.0000, 0.0000], [0.0000, 0.5000, 0.5000], [0.5000, 0.0000, 0.5000], [0.5000, 0.5000, 0.0000], [0.5000, 0.5000, 0.5000]],
  "e_form_raw_ev_per_atom": 1.263,
  "density_g_cm3": 6.26
}

2.
{
  "formula": "BeBi2Sb",
  "functional": "PBE",
  "state": "relaxed",
  "lattice": [[-3.1872, 3.1872, 6.4007], [3.1872, -3.1872, 6.4007], [3.1872, 3.1872, -6.4007]],
  "species": ["Be", "Be", "Bi", "Bi", "Bi", "Bi", "Sb", "Sb"],
  "frac_coords": [[0.0000, 0.0000, 0.0000], [0.7500, 0.2500, 0.5000], [0.0523, 0.6250, 0.9273], [0.3750, 0.3023, 0.4273], [0.6977, 0.1250, 0.0727], [0.8750, 0.9477, 0.5727], [0.2500, 0.7500, 0.5000], [0.5000, 0.5000, 0.0000]],
  "e_form_raw_ev_per_atom": 0.308,
  "density_g_cm3": 7.01
}

3.
{
  "formula": "BeBiSb3",
  "functional": "PBE",
  "state": "relaxed",
  "lattice": [[5.0358, 0.0000, 0.0000], [0.0000, 5.0358, 0.0000], [0.0000, 0.0000, 5.0358]],
  "species": ["Be", "Bi", "Sb", "Sb", "Sb"],
  "frac_coords": [[0.0000, 0.0000, 0.0000], [0.5000, 0.5000, 0.5000], [0.0000, 0.0000, 0.5000], [0.0000, 0.5000, 0.0000], [0.5000, 0.0000, 0.0000]],
  "e_form_raw_ev_per_atom": 0.391,
  "density_g_cm3": 7.58
}

Copy entry 2 word for word.
{
  "formula": "BeBi2Sb",
  "functional": "PBE",
  "state": "relaxed",
  "lattice": [[-3.1872, 3.1872, 6.4007], [3.1872, -3.1872, 6.4007], [3.1872, 3.1872, -6.4007]],
  "species": ["Be", "Be", "Bi", "Bi", "Bi", "Bi", "Sb", "Sb"],
  "frac_coords": [[0.0000, 0.0000, 0.0000], [0.7500, 0.2500, 0.5000], [0.0523, 0.6250, 0.9273], [0.3750, 0.3023, 0.4273], [0.6977, 0.1250, 0.0727], [0.8750, 0.9477, 0.5727], [0.2500, 0.7500, 0.5000], [0.5000, 0.5000, 0.0000]],
  "e_form_raw_ev_per_atom": 0.308,
  "density_g_cm3": 7.01
}

Repeat the second record exactly.
{
  "formula": "BeBi2Sb",
  "functional": "PBE",
  "state": "relaxed",
  "lattice": [[-3.1872, 3.1872, 6.4007], [3.1872, -3.1872, 6.4007], [3.1872, 3.1872, -6.4007]],
  "species": ["Be", "Be", "Bi", "Bi", "Bi", "Bi", "Sb", "Sb"],
  "frac_coords": [[0.0000, 0.0000, 0.0000], [0.7500, 0.2500, 0.5000], [0.0523, 0.6250, 0.9273], [0.3750, 0.3023, 0.4273], [0.6977, 0.1250, 0.0727], [0.8750, 0.9477, 0.5727], [0.2500, 0.7500, 0.5000], [0.5000, 0.5000, 0.0000]],
  "e_form_raw_ev_per_atom": 0.308,
  "density_g_cm3": 7.01
}